Record 1
Density functional theory data (PBE-GGA) for an optimized crystal structure of YTaAs2.

Summary:
SG: R-3m (166)
VASP energy (eV per atom): -7.725
Energy relative to the elements (eV/atom): -0.82
E above lowest polymorph (meV per atom): 0
Total magnetization (μB per cell): 0.0

The structure in extended XYZ format:
```
4
Lattice="1.947 1.124 6.378 -1.947 1.124 6.378 0.000 -2.248 6.378" Properties=species:S:1:pos:R:3 pbc="T T T"
Y 0.000 0.000 0.000
Ta 0.000 0.000 9.568
As 0.000 0.000 4.619
As 0.000 0.000 14.516
```

***

Record 2
Density functional theory data (PBE-GGA) for an optimized crystal structure of NdSm3Dy2S6.

Summary:
SG: C2/m (12)
VASP energy (eV per atom): -6.424
Total magnetization (μB per cell): 0.0
Formation energy from raw total energies (meV/atom): -2016

The structure in extended XYZ format:
```
12
Lattice="3.445 -5.987 0.000 3.445 5.987 0.000 -2.302 0.000 6.506" Properties=species:S:1:pos:R:3 pbc="T T T"
Nd 0.000 0.000 0.000
Sm 2.294 4.042 3.253
Sm 2.294 0.000 3.253
Sm 2.294 -4.042 3.253
Dy 3.445 1.990 0.000
Dy 3.445 -1.990 0.000
S 1.178 2.051 1.602
S 0.059 0.000 4.927
S 1.178 -2.051 1.602
S 3.410 2.051 4.904
S 4.529 0.000 1.579
S 3.410 -2.051 4.904
```